ReGe2Ir2 | the Alexandria database | PBE | optimized geometry; Fermi-level density of states = 0.42 states/eV per atom; energy = -7.690 eV per atom; M_tot = 0.0000 μB per atom; crystal system = tetragonal; energy of formation = 0.191 eV per atom
1.0
7.271 0.000 0.000
0.000 7.271 0.000
0.000 0.000 2.820
Ge Ir Re
4 4 2
Direct
0.349 0.849 0.000 Ge
0.849 0.651 0.000 Ge
0.151 0.349 0.000 Ge
0.651 0.151 0.000 Ge
0.851 0.351 0.500 Ir
0.351 0.149 0.500 Ir
0.649 0.851 0.500 Ir
0.149 0.649 0.500 Ir
0.000 0.000 0.000 Re
0.500 0.500 0.000 Re